[1]
First-principles (GGA-PBE) data for a relaxed structure of Pu3ZnRu2, as listed in Alexandria.

```
data_Pu3ZnRu2
_symmetry_space_group_name_H-M 'P 1'
_symmetry_Int_Tables_number 1
_symmetry_space_group_name_Hall 'P 1'
_cell_length_a 3.2720
_cell_length_b 3.2720
_cell_length_c 11.5142
_cell_angle_alpha 90.00
_cell_angle_beta 90.00
_cell_angle_gamma 90.00
loop_
_atom_site_label
_atom_site_fract_x
_atom_site_fract_y
_atom_site_fract_z
Pu1 0.0000 0.0000 0.0000
Pu2 0.0000 0.0000 0.3096
Pu3 0.0000 0.0000 0.6904
Zn1 0.5000 0.5000 0.5000
Ru1 0.5000 0.5000 0.1558
Ru2 0.5000 0.5000 0.8442
```

Results
Symmetry: P4/mmm, No. 123
Energy of formation: -0.13 eV/atom
Uncorrected energy: -10.601 eV per atom


[2]
First-principles (GGA-PBE) data for a relaxed structure of Ce8Te4P3C, as listed in Alexandria.

```
data_Ce8Te4P3C
_symmetry_space_group_name_H-M 'P 1'
_symmetry_Int_Tables_number 1
_symmetry_space_group_name_Hall 'P 1'
_cell_length_a 8.6570
_cell_length_b 8.6570
_cell_length_c 8.6570
_cell_angle_alpha 57.44
_cell_angle_beta 57.44
_cell_angle_gamma 57.44
loop_
_atom_site_label
_atom_site_fract_x
_atom_site_fract_y
_atom_site_fract_z
Ce1 0.2387 0.2387 0.2387
Ce2 0.2542 0.7246 0.7246
Ce3 0.2754 0.2754 0.7458
Ce4 0.2754 0.7458 0.2754
Ce5 0.7246 0.2542 0.7246
Ce6 0.7246 0.7246 0.2542
Ce7 0.7458 0.2754 0.2754
Ce8 0.7613 0.7613 0.7613
Te1 0.0000 0.0000 0.0000
Te2 0.0000 0.5000 0.5000
Te3 0.5000 0.0000 0.5000
Te4 0.5000 0.5000 0.0000
P1 0.0000 0.0000 0.5000
P2 0.0000 0.5000 0.0000
P3 0.5000 0.0000 0.0000
C1 0.5000 0.5000 0.5000
```

Results
Symmetry: R-3m, No. 166
Energy relative to the elements, uncorrected: -1.262 eV per atom
Uncorrected energy: -6.605 eV per atom


[3]
First-principles (GGA-PBE) data for a relaxed structure of TaCrSe4, as listed in Alexandria.

```
data_TaCrSe4
_symmetry_space_group_name_H-M 'P 1'
_symmetry_Int_Tables_number 1
_symmetry_space_group_name_Hall 'P 1'
_cell_length_a 5.5460
_cell_length_b 5.5460
_cell_length_c 5.5460
_cell_angle_alpha 60.00
_cell_angle_beta 60.00
_cell_angle_gamma 60.00
loop_
_atom_site_label
_atom_site_fract_x
_atom_site_fract_y
_atom_site_fract_z
Ta1 0.0000 0.0000 0.0000
Cr1 0.7500 0.7500 0.7500
Se1 0.3747 0.3747 0.3747
Se2 0.3747 0.3747 0.8760
Se3 0.3747 0.8760 0.3747
Se4 0.8760 0.3747 0.3747
```

Results
Symmetry: F-43m, No. 216
Energy relative to the elements, uncorrected: 1.092 eV per atom
Uncorrected energy: -4.810 eV per atom


[4]
First-principles (GGA-PBE) data for a relaxed structure of CrAs2Cl, as listed in Alexandria.

```
data_CrAs2Cl
_symmetry_space_group_name_H-M 'P 1'
_symmetry_Int_Tables_number 1
_symmetry_space_group_name_Hall 'P 1'
_cell_length_a 5.3880
_cell_length_b 5.3880
_cell_length_c 5.4353
_cell_angle_alpha 90.00
_cell_angle_beta 90.00
_cell_angle_gamma 90.00
loop_
_atom_site_label
_atom_site_fract_x
_atom_site_fract_y
_atom_site_fract_z
Cr1 0.0000 0.0000 0.0000
Cr2 0.5000 0.5000 0.5000
As1 0.0000 0.5000 0.0000
As2 0.0000 0.5000 0.5000
As3 0.5000 0.0000 0.0000
As4 0.5000 0.0000 0.5000
Cl1 0.0000 0.0000 0.5000
Cl2 0.5000 0.5000 0.0000
```

Results
Symmetry: I4/mmm, No. 139
Energy relative to the elements, uncorrected: 0.223 eV per atom
Uncorrected energy: -4.969 eV per atom


[5]
First-principles (GGA-PBE) data for a relaxed structure of Ag3BrF, as listed in Alexandria.

```
data_Ag3BrF
_symmetry_space_group_name_H-M 'P 1'
_symmetry_Int_Tables_number 1
_symmetry_space_group_name_Hall 'P 1'
_cell_length_a 4.7533
_cell_length_b 4.7533
_cell_length_c 4.7533
_cell_angle_alpha 90.00
_cell_angle_beta 90.00
_cell_angle_gamma 90.00
loop_
_atom_site_label
_atom_site_fract_x
_atom_site_fract_y
_atom_site_fract_z
Ag1 0.0000 0.0000 0.5000
Ag2 0.0000 0.5000 0.0000
Ag3 0.5000 0.0000 0.0000
Br1 0.5000 0.5000 0.5000
F1 0.0000 0.0000 0.0000
```

Results
Symmetry: Pm-3m, No. 221
Energy relative to the elements, uncorrected: -0.205 eV per atom
Uncorrected energy: -2.625 eV per atom


[6]
First-principles (GGA-PBE) data for a relaxed structure of BeTlW2, as listed in Alexandria.

```
data_BeTlW2
_symmetry_space_group_name_H-M 'P 1'
_symmetry_Int_Tables_number 1
_symmetry_space_group_name_Hall 'P 1'
_cell_length_a 9.1868
_cell_length_b 2.8246
_cell_length_c 5.2460
_cell_angle_alpha 90.00
_cell_angle_beta 94.07
_cell_angle_gamma 90.00
loop_
_atom_site_label
_atom_site_fract_x
_atom_site_fract_y
_atom_site_fract_z
Be1 0.0000 0.0000 0.0000
Be2 0.5000 0.5000 0.0000
Tl1 0.2229 0.0000 0.7063
Tl2 0.7229 0.5000 0.7063
W1 0.2329 0.5000 0.1903
W2 0.4813 0.0000 0.3981
W3 0.7329 0.0000 0.1903
W4 0.9813 0.5000 0.3981
```

Results
Symmetry: Cm, No. 8
Energy of formation: 0.85 eV/atom
Uncorrected energy: -7.149 eV per atom


[7]
First-principles (GGA-PBE) data for a relaxed structure of VReTe3, as listed in Alexandria.

```
data_VReTe3
_symmetry_space_group_name_H-M 'P 1'
_symmetry_Int_Tables_number 1
_symmetry_space_group_name_Hall 'P 1'
_cell_length_a 5.2546
_cell_length_b 5.2546
_cell_length_c 5.2546
_cell_angle_alpha 90.00
_cell_angle_beta 90.00
_cell_angle_gamma 90.00
loop_
_atom_site_label
_atom_site_fract_x
_atom_site_fract_y
_atom_site_fract_z
V1 0.0000 0.0000 0.0000
Re1 0.5000 0.5000 0.5000
Te1 0.0000 0.5000 0.5000
Te2 0.5000 0.0000 0.5000
Te3 0.5000 0.5000 0.0000
```

Results
Symmetry: Pm-3m, No. 221
Energy relative to the elements, uncorrected: 1.074 eV per atom
Uncorrected energy: -5.124 eV per atom


[8]
First-principles (GGA-PBE) data for a relaxed structure of AlSnSeN2, as listed in Alexandria.

```
data_AlSnSeN2
_symmetry_space_group_name_H-M 'P 1'
_symmetry_Int_Tables_number 1
_symmetry_space_group_name_Hall 'P 1'
_cell_length_a 4.0620
_cell_length_b 4.0620
_cell_length_c 5.8130
_cell_angle_alpha 90.00
_cell_angle_beta 90.00
_cell_angle_gamma 90.00
loop_
_atom_site_label
_atom_site_fract_x
_atom_site_fract_y
_atom_site_fract_z
Al1 0.0000 0.0000 0.0000
Sn1 0.5000 0.5000 0.5000
Se1 0.5000 0.5000 0.0000
N1 0.0000 0.5000 0.5000
N2 0.5000 0.0000 0.5000
```

Results
Symmetry: P4/mmm, No. 123
Energy relative to the elements, uncorrected: 1.135 eV per atom
Uncorrected energy: -4.442 eV per atom


[9]
First-principles (GGA-PBE) data for a relaxed structure of SrCaTl4, as listed in Alexandria.

```
data_SrCaTl4
_symmetry_space_group_name_H-M 'P 1'
_symmetry_Int_Tables_number 1
_symmetry_space_group_name_Hall 'P 1'
_cell_length_a 3.9366
_cell_length_b 5.2164
_cell_length_c 9.1310
_cell_angle_alpha 90.07
_cell_angle_beta 90.19
_cell_angle_gamma 90.04
loop_
_atom_site_label
_atom_site_fract_x
_atom_site_fract_y
_atom_site_fract_z
Sr1 0.0000 0.0000 0.0000
Ca1 0.0004 0.5000 0.5007
Tl1 0.3788 0.0004 0.3395
Tl2 0.4085 0.4994 0.8278
Tl3 0.5936 0.5005 0.1733
Tl4 0.6195 0.9994 0.6606
```

Results
Symmetry: P1, No. 1
Energy of formation: -0.29 eV/atom
Uncorrected energy: -2.484 eV per atom


[10]
First-principles (GGA-PBE) data for a relaxed structure of Pm8Er2Pb, as listed in Alexandria.

```
data_Pm8Er2Pb
_symmetry_space_group_name_H-M 'P 1'
_symmetry_Int_Tables_number 1
_symmetry_space_group_name_Hall 'P 1'
_cell_length_a 9.5115
_cell_length_b 9.5115
_cell_length_c 8.0902
_cell_angle_alpha 105.01
_cell_angle_beta 105.01
_cell_angle_gamma 30.55
loop_
_atom_site_label
_atom_site_fract_x
_atom_site_fract_y
_atom_site_fract_z
Pm1 0.0444 0.0444 0.2277
Pm2 0.1377 0.1377 0.6809
Pm3 0.3207 0.3207 0.5930
Pm4 0.4090 0.4090 0.0569
Pm5 0.5910 0.5910 0.9431
Pm6 0.6793 0.6793 0.4070
Pm7 0.8623 0.8623 0.3191
Pm8 0.9556 0.9556 0.7723
Er1 0.2243 0.2243 0.1326
Er2 0.7757 0.7757 0.8674
Pb1 0.5000 0.5000 0.5000
```

Results
Symmetry: C2/m, No. 12
Energy of formation: -0.08 eV/atom
Uncorrected energy: -4.702 eV per atom


[11]
First-principles (GGA-PBE) data for a relaxed structure of HfCrAs2, as listed in Alexandria.

```
data_HfCrAs2
_symmetry_space_group_name_H-M 'P 1'
_symmetry_Int_Tables_number 1
_symmetry_space_group_name_Hall 'P 1'
_cell_length_a 5.8939
_cell_length_b 5.8939
_cell_length_c 11.8347
_cell_angle_alpha 90.00
_cell_angle_beta 90.00
_cell_angle_gamma 90.00
loop_
_atom_site_label
_atom_site_fract_x
_atom_site_fract_y
_atom_site_fract_z
Hf1 0.0000 0.0000 0.0000
Hf2 0.0000 0.5000 0.2500
Hf3 0.5000 0.0000 0.7500
Hf4 0.5000 0.5000 0.5000
Cr1 0.0000 0.0000 0.5000
Cr2 0.0000 0.5000 0.7500
Cr3 0.5000 0.0000 0.2500
Cr4 0.5000 0.5000 0.0000
As1 0.2363 0.2500 0.6250
As2 0.2500 0.7363 0.8750
As3 0.2500 0.7637 0.3750
As4 0.2637 0.2500 0.1250
As5 0.7363 0.7500 0.1250
As6 0.7500 0.2363 0.3750
As7 0.7500 0.2637 0.8750
As8 0.7637 0.7500 0.6250
```

Results
Symmetry: I-42d, No. 122
Energy of formation: -0.06 eV/atom
Uncorrected energy: -7.277 eV per atom


[12]
First-principles (GGA-PBE) data for a relaxed structure of Ba2Tl2Bi, as listed in Alexandria.

```
data_Ba2Tl2Bi
_symmetry_space_group_name_H-M 'P 1'
_symmetry_Int_Tables_number 1
_symmetry_space_group_name_Hall 'P 1'
_cell_length_a 9.9335
_cell_length_b 9.9335
_cell_length_c 4.1945
_cell_angle_alpha 90.00
_cell_angle_beta 90.00
_cell_angle_gamma 90.00
loop_
_atom_site_label
_atom_site_fract_x
_atom_site_fract_y
_atom_site_fract_z
Ba1 0.1862 0.3138 0.0000
Ba2 0.3138 0.8138 0.0000
Ba3 0.6862 0.1862 0.0000
Ba4 0.8138 0.6862 0.0000
Tl1 0.1144 0.6144 0.5000
Tl2 0.3856 0.1144 0.5000
Tl3 0.6144 0.8856 0.5000
Tl4 0.8856 0.3856 0.5000
Bi1 0.0000 0.0000 0.0000
Bi2 0.5000 0.5000 0.0000
```

Results
Symmetry: P4/mbm, No. 127
Energy of formation: -0.23 eV/atom
Uncorrected energy: -2.723 eV per atom


Number 1: V 20.55 A^3/atom. Number 2: V 26.98 A^3/atom. Number 3: V 20.10 A^3/atom. Number 4: V 19.72 A^3/atom. Number 5: V 21.48 A^3/atom. Number 6: V 16.97 A^3/atom. Number 7: V 29.02 A^3/atom. Number 8: V 19.18 A^3/atom. Number 9: V 31.25 A^3/atom. Number 10: V 32.58 A^3/atom. Number 11: V 25.69 A^3/atom. Number 12: V 41.39 A^3/atom.